Density functional theory data (GGA-PBE) for crystalline ZrNi2PdW at its relaxed geometry.

Cell and atoms, written as POSCAR:
```
ZrNi2PdW
1.0
4.495 0.000 0.000
0.000 4.495 0.000
0.000 0.000 4.897
Zr Ni Pd W
1 2 1 1
direct
0.000 0.000 0.000
0.000 0.500 0.000
0.500 0.000 0.000
0.500 0.500 0.500
0.000 0.000 0.500
```

Calculated values
- Space group: No. 123
- DOS at the Fermi energy: 7.0 states/eV per cell
- Energy of formation from the pure elements: 1735.8 meV per atom
- E: -5.9156 eV per atom
- Total magnetization: 1.4 μB per cell



Density functional theory data (GGA-PBE) for crystalline YNi3Pd10 at its relaxed geometry.

Cell and atoms, written as POSCAR:
```
YNi3Pd10
1.0
0.000 6.158 6.158
6.158 0.000 6.158
6.158 6.158 0.000
Y Ni Pd
2 6 20
direct
0.250 0.250 0.250
0.750 0.750 0.750
0.228 0.228 0.772
0.228 0.772 0.228
0.228 0.772 0.772
0.772 0.228 0.228
0.772 0.228 0.772
0.772 0.772 0.228
0.122 0.122 0.122
0.122 0.122 0.633
0.122 0.633 0.122
0.155 0.500 0.500
0.155 0.500 0.845
0.155 0.845 0.500
0.367 0.878 0.878
0.500 0.155 0.500
0.500 0.155 0.845
0.500 0.500 0.155
0.500 0.500 0.845
0.500 0.845 0.155
0.500 0.845 0.500
0.633 0.122 0.122
0.845 0.155 0.500
0.845 0.500 0.155
0.845 0.500 0.500
0.878 0.367 0.878
0.878 0.878 0.367
0.878 0.878 0.878
```

Calculated values
- Space group: No. 225
- DOS at the Fermi energy: 29.5 states/eV per cell
- Energy of formation from the pure elements: -30.1 meV per atom
- E: -5.4398 eV per atom
- Total magnetization: 8.4 μB per cell



Density functional theory data (GGA-PBE) for crystalline YNiPd at its relaxed geometry.

Cell and atoms, written as POSCAR:
```
YNiPd
1.0
-2.350 2.768 4.120
2.350 -2.768 4.120
2.350 2.768 -4.120
Y Ni Pd
2 2 2
direct
0.368 0.118 0.250
0.632 0.882 0.750
0.040 0.790 0.250
0.960 0.210 0.750
0.000 0.500 0.500
0.500 0.500 0.000
```

Calculated values
- Space group: No. 74
- DOS at the Fermi energy: 3.4 states/eV per cell
- Energy of formation from the pure elements: -387.7 meV per atom
- E: -6.2004 eV per atom
- Total magnetization: 0.0 μB per cell



Density functional theory data (GGA-PBE) for crystalline YNiPd at its relaxed geometry.

Cell and atoms, written as POSCAR:
```
YNiPd
1.0
4.244 0.000 0.000
-2.122 3.675 0.000
0.000 0.000 3.680
Y Ni Pd
1 1 1
direct
0.000 0.000 0.000
0.667 0.333 0.500
0.333 0.667 0.500
```

Calculated values
- Space group: No. 187
- DOS at the Fermi energy: 3.0 states/eV per cell
- Energy of formation from the pure elements: -551.2 meV per atom
- E: -6.3640 eV per atom
- Total magnetization: 0.0 μB per cell



What is the E in the second record?
-5.4398 eV per atom



Please write out number 4 again, unchanged.
Density functional theory data (GGA-PBE) for crystalline YNiPd at its relaxed geometry.

Cell and atoms, written as POSCAR:
```
YNiPd
1.0
4.244 0.000 0.000
-2.122 3.675 0.000
0.000 0.000 3.680
Y Ni Pd
1 1 1
direct
0.000 0.000 0.000
0.667 0.333 0.500
0.333 0.667 0.500
```

Calculated values
- Space group: No. 187
- DOS at the Fermi energy: 3.0 states/eV per cell
- Energy of formation from the pure elements: -551.2 meV per atom
- E: -6.3640 eV per atom
- Total magnetization: 0.0 μB per cell



Look up the E of the first one.
-5.9156 eV per atom



The lowest E belongs to which entry?
number 4